Computed, not measured: a relaxed SrEuTlAg crystal at the GGA-PBE level of DFT.

Cell lengths 5.594, 5.594, 5.594 Å; angles 60.00, 60.00, 60.00 degrees
Fractional positions:
Sr: 0.000 0.000 0.000
Eu: 0.500 0.500 0.500
Tl: 0.250 0.250 0.250
Ag: 0.750 0.750 0.750

Properties
The space group is F-43m. As for the formation enthalpy at 0 K: -0.3210 eV/atom.


Computed, not measured: a relaxed SrEuZnAg crystal at the GGA-PBE level of DFT.

Cell lengths 5.453, 5.453, 5.453 Å; angles 60.00, 60.00, 60.00 degrees
Fractional positions:
Sr: 0.000 0.000 0.000
Eu: 0.500 0.500 0.500
Zn: 0.250 0.250 0.250
Ag: 0.750 0.750 0.750

Properties
The space group is F-43m. As for the formation enthalpy at 0 K: -0.2317 eV/atom.